Entry 1:
Crystalline Ca2Si3AgAu4 at its relaxed geometry, computed with PBE.

Unit cell a=4.4018 b=4.4018 c=10.4462 alpha=90.00 beta=90.00 gamma=90.00
Closest atoms and distances in Å follow each position.
Space group P-4m2 (No. 115)
Symmetry-distinct sites (fractional):
Ca  0.0000  0.5000  0.2485  8 Au 3.30-3.40, 6 Si 3.37-3.43, 2 Ag 3.43
Si  0.0000  0.5000  0.8747  5 Au 2.38-2.56
Si  0.5000  0.5000  0.5000  4 Au 2.68
Ag  0.0000  0.0000  0.5000  4 Au 2.68
Au  0.0000  0.0000  0.0000  4 Si 2.56
Au  0.0000  0.5000  0.6465  1 Si 2.38
Au  0.5000  0.5000  0.0000  4 Si 2.56

Calculated values
Total magnetization (μB per cell): 0.00
Energy (eV/atom): -4.035
Formation energy (no corrections) (eV per formula unit): -4.1

---

Entry 2:
Crystalline LiGdTmSn at its relaxed geometry, computed with PBE.

Unit cell a=7.3746 b=7.3746 c=7.3746 alpha=90.00 beta=90.00 gamma=90.00
Closest atoms and distances in Å follow each position.
Space group F-43m (No. 216)
Symmetry-distinct sites (fractional):
Li  0.0000  0.0000  0.0000  4 Gd 3.19, 4 Tm 3.19
Gd  0.2500  0.2500  0.7500  4 Sn 3.19, 4 Li 3.19
Tm  0.2500  0.2500  0.2500  4 Sn 3.19, 4 Li 3.19
Sn  0.0000  0.0000  0.5000  4 Gd 3.19, 4 Tm 3.19

Calculated values
ΔE_f (eV/atom): -0.40
Total magnetization (μB per cell): 31.03
Energy (eV/atom): -6.514

---

Entry 3:
Crystalline Ta2Fe2Pt at its relaxed geometry, computed with PBE.

Unit cell a=6.9357 b=6.9357 c=3.0051 alpha=90.00 beta=90.00 gamma=90.00
Closest atoms and distances in Å follow each position.
Space group P4/mbm (No. 127)
Symmetry-distinct sites (fractional):
Ta  0.1674  0.3326  0.0000  6 Fe 2.49-2.57
Fe  0.1308  0.6308  0.5000  6 Ta 2.49-2.57, 1 Fe 2.57, 2 Pt 2.72
Pt  0.0000  0.0000  0.5000  4 Fe 2.72, 8 Ta 2.99, 2 Pt 3.01

Calculated values
ΔE_f (eV/atom): -0.24
Total magnetization (μB per cell): 0.00
Energy (eV/atom): -9.579
Distance to the lowest polymorph of the same formula (meV per atom): 0

---

Entry 4:
Crystalline TeIr2 at its relaxed geometry, computed with PBE.

Unit cell a=10.8039 b=3.6231 c=6.6319 alpha=90.00 beta=117.02 gamma=90.00
Closest atoms and distances in Å follow each position.
Space group C2/m (No. 12)
Symmetry-distinct sites (fractional):
Te  0.0477  0.0000  0.2774  5 Ir 2.60-2.71
Ir  0.1623  0.5000  0.8722  5 Ir 2.61-2.67, 2 Te 2.71
Ir  0.2448  0.5000  0.3181  3 Te 2.60-2.71, 3 Ir 2.65-2.67

Calculated values
Total magnetization (μB per cell): 0.00
Energy (eV/atom): -6.627
Formation energy (no corrections) (eV per formula unit): 1.0
Distance to the lowest polymorph of the same formula (meV per atom): 320

---

Entry 5:
Crystalline LaTa2Br at its relaxed geometry, computed with PBE.

Unit cell a=3.6368 b=3.6368 c=6.9071 alpha=90.00 beta=90.00 gamma=90.00
Closest atoms and distances in Å follow each position.
Space group P4/mmm (No. 123)
Symmetry-distinct sites (fractional):
La  0.0000  0.0000  0.0000  8 Ta 3.32, 2 Br 3.45, 4 La 3.64
Ta  0.5000  0.5000  0.3047  1 Ta 2.70, 4 Br 2.90
Br  0.0000  0.0000  0.5000  8 Ta 2.90

Calculated values
Total magnetization (μB per cell): 0.00
Energy (eV/atom): -6.718
Formation energy (no corrections) (eV per formula unit): 3.4
Distance to the lowest polymorph of the same formula (meV per atom): 932

---

Entry 6:
Crystalline Fe3HW at its relaxed geometry, computed with PBE.

Unit cell a=6.8838 b=4.1507 c=9.1328 alpha=90.00 beta=131.56 gamma=90.00
Closest atoms and distances in Å follow each position.
Space group P2_1/c (No. 14)
Symmetry-distinct sites (fractional):
Fe  0.0005  0.2444  0.0810  2 H 1.81-1.84
Fe  0.2499  0.7435  0.7881  1 H 1.76
Fe  0.4993  0.2492  0.8307  2 H 1.80-1.82
H  0.2507  0.5137  0.1300  5 Fe 1.76-1.84
W  0.2504  0.2405  0.9496  1 H 2.00

Calculated values
Total magnetization (μB per cell): 2.52
Energy (eV/atom): -8.303
Distance to the lowest polymorph of the same formula (meV per atom): 28

---

Entry 7:
Crystalline Tb5Nd8Th at its relaxed geometry, computed with PBE.

Unit cell a=7.1635 b=8.6597 c=9.0114 alpha=113.77 beta=101.55 gamma=101.90
Closest atoms and distances in Å follow each position.
Space group P1 (No. 1)
Symmetry-distinct sites (fractional):
Tb  0.0000  0.0000  0.0000  4 Tb 3.39-3.79, 7 Nd 3.55-3.79, 1 Th 3.64
Tb  0.0292  0.8383  0.2869  4 Nd 3.22-3.59, 1 Th 3.38, 2 Tb 3.39-3.54
Tb  0.4131  0.2437  0.4252  6 Nd 3.42-3.78, 3 Tb 3.54-3.78, 1 Th 3.60
Tb  0.6052  0.5627  0.8689  8 Nd 3.58-3.81, 4 Tb 3.58-3.84, 1 Th 3.77
Tb  0.8118  0.6877  0.5570  8 Nd 3.55-3.83, 4 Tb 3.56-3.84, 1 Th 3.73
Nd  0.1043  0.5606  0.8659  7 Nd 3.57-3.80, 5 Tb 3.58-3.80, 1 Th 3.76
Nd  0.3082  0.6890  0.5601  5 Tb 3.55-3.83, 7 Nd 3.55-3.82, 1 Th 3.73
Nd  0.3842  0.4083  0.1378  4 Nd 3.22-3.58, 1 Th 3.41, 2 Tb 3.42-3.56
Nd  0.4964  0.0014  0.0013  7 Nd 3.40-3.80, 4 Tb 3.55-3.80, 1 Th 3.64
Nd  0.5280  0.8338  0.2843  4 Nd 3.22-3.58, 3 Tb 3.58-3.59
Nd  0.7070  0.1227  0.7131  6 Nd 3.42-3.76, 2 Th 3.58-3.59, 4 Tb 3.63-3.78
Nd  0.8859  0.4124  0.1415  2 Tb 3.22-3.61, 5 Nd 3.40-3.59
Nd  0.9163  0.2431  0.4238  5 Nd 3.40-3.78, 4 Tb 3.54-3.79, 1 Th 3.60
Th  0.2057  0.1229  0.7105  5 Tb 3.38-3.77, 7 Nd 3.41-3.76

Calculated values
ΔE_f (eV/atom): 0.05
Total magnetization (μB per cell): 0.00
Energy (eV/atom): -4.859

---

Entry 8:
Crystalline TiInSeBr2 at its relaxed geometry, computed with PBE.

Unit cell a=5.4963 b=5.4963 c=4.9101 alpha=90.00 beta=90.00 gamma=90.00
Closest atoms and distances in Å follow each position.
Space group P4/mmm (No. 123)
Symmetry-distinct sites (fractional):
Ti  0.0000  0.0000  0.0000  2 Se 2.46, 4 Br 2.75
In  0.5000  0.5000  0.5000  8 Br 3.69, 4 Se 3.89
Se  0.0000  0.0000  0.5000  2 Ti 2.46
Br  0.0000  0.5000  0.0000  2 Ti 2.75

Calculated values
Total magnetization (μB per cell): 1.01
Energy (eV/atom): -4.237
Formation energy (no corrections) (eV per formula unit): -3.7
Distance to the lowest polymorph of the same formula (meV per atom): 0